5
Lattice="-1.5611 1.5611 7.8048 1.5611 -1.5611 7.8048 1.5611 1.5611 -7.8048" Properties=species:S:1:pos:R:3 comment="Be2Sn2O (GGA-PBE, optimized geometry)" space_group=I4/mmm magmom_total_mub_per_cell=0.000 rho_g_cm3=5.92 raw_formation_energy_ev_per_atom=0.2449 crystal_system=tetragonal pbc="T T T"
Be 1.5611 0.0000 3.9024
Be 0.0000 1.5611 3.9024
Sn 0.0000 0.0000 1.5607
Sn 0.0000 0.0000 14.0490
O 0.0000 0.0000 7.8048



5
Lattice="4.5690 0.0000 0.0000 0.0000 4.5690 0.0000 0.0000 0.0000 4.3142" Properties=species:S:1:pos:R:3 comment="TiAl2TcP (GGA-PBE, optimized geometry)" space_group=P4/mmm magmom_total_mub_per_cell=0.005 rho_g_cm3=4.26 crystal_system=tetragonal delta_e_f_ev_per_atom=0.458 pbc="T T T"
Ti 0.0000 0.0000 0.0000
Al 0.0000 2.2845 2.1571
Al 2.2845 0.0000 2.1571
Tc 2.2845 2.2845 0.0000
P 2.2845 2.2845 2.1571



4
Lattice="-1.5134 2.4425 5.5620 1.5134 -2.4425 5.5620 1.5134 2.4425 -5.5620" Properties=species:S:1:pos:R:3 comment="TlAs2Os (GGA-PBE, optimized geometry)" space_group=Immm magmom_total_mub_per_cell=0.000 rho_g_cm3=10.99 crystal_system=orthorhombic delta_e_f_ev_per_atom=0.438 pbc="T T T"
Tl 0.0000 0.0000 0.0000
As 1.5134 0.0000 3.4829
As 0.0000 2.4425 2.0791
Os 0.0000 0.0000 5.5620